A geometry-optimized Tc3RhBr structure. Source: the Alexandria database, functional PBE.

CIF file:
```
data_Tc3RhBr
_symmetry_space_group_name_H-M 'P m -3 m'
_symmetry_Int_Tables_number 221
_symmetry_space_group_name_Hall '-P 4 2 3'
_cell_length_a 4.785
_cell_length_b 4.785
_cell_length_c 4.785
_cell_angle_alpha 90.00
_cell_angle_beta 90.00
_cell_angle_gamma 90.00
loop_
_atom_site_label
_atom_site_type_symbol
_atom_site_fract_x
_atom_site_fract_y
_atom_site_fract_z
Tc1 Tc 0.000 0.000 0.500
Rh1 Rh 0.000 0.000 0.000
Br1 Br 0.500 0.500 0.500
```

Computed properties:
For the distance to the lowest polymorph of the same formula, the calculation gives 5.21 kcal/mol of atoms.


A geometry-optimized TcRh4Br structure. Source: the Alexandria database, functional PBE.

CIF file:
```
data_TcRh4Br
_symmetry_space_group_name_H-M 'F -4 3 m'
_symmetry_Int_Tables_number 216
_symmetry_space_group_name_Hall 'F -4 2 3'
_cell_length_a 7.320
_cell_length_b 7.320
_cell_length_c 7.320
_cell_angle_alpha 90.00
_cell_angle_beta 90.00
_cell_angle_gamma 90.00
loop_
_atom_site_label
_atom_site_type_symbol
_atom_site_fract_x
_atom_site_fract_y
_atom_site_fract_z
Tc1 Tc 0.000 0.000 0.000
Rh1 Rh 0.125 0.125 0.375
Br1 Br 0.250 0.250 0.750
```


A geometry-optimized TcRhBr structure. Source: the Alexandria database, functional PBE.

CIF file:
```
data_TcRhBr
_symmetry_space_group_name_H-M 'P 3 m 1'
_symmetry_Int_Tables_number 156
_cell_length_a 4.1743
_cell_length_b 4.1743
_cell_length_c 3.1911
_cell_angle_alpha 90.00
_cell_angle_beta 90.00
_cell_angle_gamma 120.00
loop_
_symmetry_equiv_pos_as_xyz
'x,y,z'
'-y,x-y,z'
'-x+y,-x,z'
'-y,-x,z'
'-x+y,y,z'
'x,x-y,z'
loop_
_atom_site_label
_atom_site_type_symbol
_atom_site_fract_x
_atom_site_fract_y
_atom_site_fract_z
Tc1 Tc 0.0000 0.0000 0.0000
Rh1 Rh 0.6667 0.3333 0.5384
Br1 Br 0.3333 0.6667 0.1779
```

Computed properties:
For the distance to the lowest polymorph of the same formula, the calculation gives 6.43 kcal/mol of atoms.


Calculated density in order - 7.23; 9.98; 9.68 g cm⁻³
Calculated density of states at the Fermi level in order - 6.9; 44.7; 2.8 states/eV/cell
Calculated raw formation energy in order - 44.917; 18.968; 17.112 kcal/mol of atoms